Material: MgAsC2Cl
Method: DFT, PBE
State: relaxed

## Properties
The total energy comes out at -2.903 eV per atom. The calculation puts the density of states at the Fermi level at 0.836 states/eV/atom. Its formation energy without anion corrections is 2.405 eV per atom.

The structure in POSCAR format:
```
MgAsC2Cl
1.0
4.1453 0.0000 0.0000
0.0000 4.1453 0.0000
0.0000 0.0000 4.7889
Mg As C Cl
1 1 2 1
Direct
0.0000 0.0000 0.0000
0.5000 0.5000 0.0000
0.0000 0.5000 0.5000
0.5000 0.0000 0.5000
0.5000 0.5000 0.5000
```